Here is a geometry-optimized BeCoSO structure from OQMD. Energies are from PBE with a Hubbard U.

Cell lengths 3.5729, 3.5729, 6.9067 Å; angles 90.01, 90.01, 90.00 degrees
Fractional positions:
Be 0.7482 0.2518 0.0000
Be 0.2518 0.7482 0.0000
Co 0.7522 0.7522 0.2142
Co 0.2478 0.2478 0.7858
O 0.7492 0.7492 0.4986
O 0.2508 0.2508 0.5014
S 0.2488 0.2488 0.2821
S 0.7512 0.7512 0.7179

Offset from the most stable computed form: 1286 meV per atom